This record from Alexandria describes GaCoH2BrO after structural relaxation. The functional is PBE with a Hubbard U.

Unit cell a=3.9460 b=4.6467 c=6.1825 alpha=95.78 beta=108.61 gamma=115.06
Sites, in units of the cell vectors:
Ga 0.0000 0.0000 0.0000
Co 0.4969 0.1790 0.8150
H 0.1358 0.8121 0.6795
H 0.3563 0.8118 0.6799
Br 0.3730 0.3200 0.4228
O 0.7931 0.5723 0.0151

Properties
total magnetization = 0.999 μB/f.u.
polymorph energy (0 for the lowest one) = 0.212 eV/atom